(1)
NaTePd3 after structural relaxation. Source: the Alexandria database, functional GGA-PBE.

abc: 5.0213 5.0213 5.0213
angles: 90.00 90.00 90.00
Fractional positions:
1 Na 0.5000 0.5000 0.5000
2 Te 0.0000 0.0000 0.0000
3 Pd 0.0000 0.5000 0.0000
4 Pd 0.0000 0.0000 0.5000
5 Pd 0.5000 0.0000 0.0000

- D(E_F) (states/eV/cell) = 2.44
- volume (Å³/atom) = 25.32
- crystal system = cubic
- space group = Pm-3m

=====

(2)
NaTePd3 after structural relaxation. Source: the Alexandria database, functional GGA-PBE.

abc: 5.5334 9.1092 6.6169
angles: 133.50 114.72 90.00
Fractional positions:
1 Na 0.2500 0.2501 0.5000
2 Na 0.7500 0.7499 0.5000
3 Te 0.0000 0.5000 0.0000
4 Te 0.5000 0.0000 0.0000
5 Pd 0.8147 0.3147 0.1293
6 Pd 0.3147 0.3147 0.1293
7 Pd 0.6853 0.6853 0.8707
8 Pd 0.1853 0.6853 0.8707
9 Pd 0.2500 0.9391 0.5000
10 Pd 0.7500 0.0609 0.5000

- D(E_F) (states/eV/cell) = 4.47
- volume (Å³/atom) = 19.77
- crystal system = orthorhombic
- space group = Imma

=====

Which structure loses on stability? (1) does.

=====

(1)
Na3TiPd after structural relaxation. Source: the Alexandria database, functional GGA-PBE.

abc: 5.2632 5.2632 5.2632
angles: 90.00 90.00 90.00
Fractional positions:
1 Na 0.0000 0.5000 0.0000
2 Na 0.0000 0.0000 0.5000
3 Na 0.5000 0.0000 0.0000
4 Pd 0.0000 0.0000 0.0000
5 Ti 0.5000 0.5000 0.5000

- D(E_F) (states/eV/cell) = 4.48
- volume (Å³/atom) = 29.16
- crystal system = cubic
- space group = Pm-3m

=====

(2)
Na3TiPd after structural relaxation. Source: the Alexandria database, functional GGA-PBE.

abc: 5.6918 5.6918 5.6918
angles: 90.00 90.00 90.00
Fractional positions:
1 Na 0.0000 0.5000 0.0000
2 Na 0.0000 0.0000 0.5000
3 Na 0.5000 0.0000 0.0000
4 Pd 0.5000 0.5000 0.5000
5 Ti 0.0000 0.0000 0.0000

- D(E_F) (states/eV/cell) = 9.74
- volume (Å³/atom) = 36.88
- crystal system = cubic
- space group = Pm-3m

=====

Which structure loses on stability? (2) does.

=====

(1)
Na2TiPd after structural relaxation. Source: the Alexandria database, functional GGA-PBE.

abc: 4.8914 4.8914 4.8914
angles: 60.00 60.00 60.00
Fractional positions:
1 Na 0.2500 0.2500 0.2500
2 Na 0.7500 0.7500 0.7500
3 Pd 0.5000 0.5000 0.5000
4 Ti 0.0000 0.0000 0.0000

- D(E_F) (states/eV/cell) = 8.72
- volume (Å³/atom) = 20.69
- crystal system = cubic
- space group = Fm-3m

=====

(2)
Na2TiPd after structural relaxation. Source: the Alexandria database, functional GGA-PBE.

abc: 8.4483 8.4483 6.5257
angles: 49.66 49.66 90.00
Fractional positions:
1 Na 0.6706 0.1250 0.2500
2 Na 0.0794 0.6250 0.2500
3 Na 0.3750 0.3294 0.7500
4 Na 0.8750 0.9206 0.7500
5 Pd 0.0000 0.0000 0.0000
6 Pd 0.7500 0.2500 0.5000
7 Ti 0.5000 0.5000 0.0000
8 Ti 0.2500 0.7500 0.5000

- D(E_F) (states/eV/cell) = 6.09
- volume (Å³/atom) = 23.43
- crystal system = tetragonal
- space group = I-42d

=====

Which structure loses on stability? (1) does.

=====

(1)
Na2TiPd2 after structural relaxation. Source: the Alexandria database, functional GGA-PBE.

abc: 7.9015 7.9015 2.8974
angles: 90.00 90.00 90.00
Fractional positions:
1 Na 0.3883 0.8883 0.0000
2 Na 0.8883 0.6117 0.0000
3 Na 0.6117 0.1117 0.0000
4 Na 0.1117 0.3883 0.0000
5 Pd 0.1911 0.6911 0.5000
6 Pd 0.6911 0.8089 0.5000
7 Pd 0.8089 0.3089 0.5000
8 Pd 0.3089 0.1911 0.5000
9 Ti 0.0000 0.0000 0.0000
10 Ti 0.5000 0.5000 0.0000

- D(E_F) (states/eV/cell) = 8.13
- volume (Å³/atom) = 18.09
- crystal system = tetragonal
- space group = P4/mbm

=====

(2)
Na2TiPd2 after structural relaxation. Source: the Alexandria database, functional GGA-PBE.

abc: 4.7939 4.7939 5.3061
angles: 63.15 63.15 90.00
Fractional positions:
1 Na 0.3681 0.3681 0.2638
2 Na 0.6319 0.6319 0.7362
3 Pd 0.7500 0.2500 0.5000
4 Pd 0.2500 0.7500 0.5000
5 Ti 0.0000 0.0000 0.0000

- D(E_F) (states/eV/cell) = 5.81
- volume (Å³/atom) = 18.76
- crystal system = tetragonal
- space group = I4/mmm

=====

Which structure loses on stability? (2) does.

=====

(1)
NaTiV2Pd after structural relaxation. Source: the Alexandria database, functional GGA-PBE.

abc: 4.6345 4.5013 4.6345
angles: 90.00 90.00 90.00
Fractional positions:
1 Na 0.0000 0.0000 0.0000
2 Ti 0.5000 0.5000 0.5000
3 Pd 0.0000 0.5000 0.0000
4 V 0.0000 0.0000 0.5000
5 V 0.5000 0.0000 0.0000

- D(E_F) (states/eV/cell) = 6.50
- volume (Å³/atom) = 19.34
- crystal system = tetragonal
- space group = P4/mmm

=====

(2)
NaTiV2Pd after structural relaxation. Source: the Alexandria database, functional GGA-PBE.

abc: 4.3994 4.5889 4.3994
angles: 90.00 90.00 90.00
Fractional positions:
1 Na 0.0000 0.0000 0.0000
2 Ti 0.0000 0.5000 0.0000
3 Pd 0.5000 0.5000 0.5000
4 V 0.0000 0.0000 0.5000
5 V 0.5000 0.0000 0.0000

- D(E_F) (states/eV/cell) = 12.86
- volume (Å³/atom) = 17.76
- crystal system = tetragonal
- space group = P4/mmm

=====

Which structure loses on stability? (2) does.

=====

(1)
Na5Tl2Pd after structural relaxation. Source: the Alexandria database, functional GGA-PBE.

abc: 4.8328 6.1172 16.3720
angles: 90.00 90.00 113.27
Fractional positions:
1 Na 0.9505 0.9010 0.8889
2 Na 0.9505 0.9010 0.6111
3 Na 0.3433 0.6866 0.4554
4 Na 0.3433 0.6866 0.0446
5 Na 0.4777 0.9554 0.2500
6 Na 0.5223 0.0446 0.7500
7 Na 0.6567 0.3134 0.5446
8 Na 0.6567 0.3134 0.9554
9 Na 0.0495 0.0990 0.1111
10 Na 0.0495 0.0990 0.3889
11 Tl 0.7477 0.4955 0.3449
12 Tl 0.7477 0.4955 0.1551
13 Tl 0.2523 0.5045 0.6551
14 Tl 0.2523 0.5045 0.8449
15 Pd 0.7818 0.5636 0.7500
16 Pd 0.2182 0.4364 0.2500

- D(E_F) (states/eV/cell) = 6.34
- volume (Å³/atom) = 27.79
- crystal system = orthorhombic
- space group = Cmcm

=====

(2)
Na5Tl2Pd after structural relaxation. Source: the Alexandria database, functional GGA-PBE.

abc: 4.0218 7.2861 14.5948
angles: 90.00 90.00 90.00
Fractional positions:
1 Na 0.0000 0.0000 0.0000
2 Na 0.0000 0.5000 0.5000
3 Na 0.0000 0.4705 0.7433
4 Na 0.0000 0.5295 0.2567
5 Na 0.0000 0.0295 0.2433
6 Na 0.0000 0.9705 0.7567
7 Na 0.5000 0.2662 0.8880
8 Na 0.5000 0.7338 0.1120
9 Na 0.5000 0.2338 0.3880
10 Na 0.5000 0.7662 0.6120
11 Tl 0.5000 0.1992 0.6063
12 Tl 0.5000 0.8008 0.3937
13 Tl 0.5000 0.3008 0.1063
14 Tl 0.5000 0.6992 0.8937
15 Pd 0.0000 0.0000 0.5000
16 Pd 0.0000 0.5000 0.0000

- D(E_F) (states/eV/cell) = 6.63
- volume (Å³/atom) = 26.73
- crystal system = orthorhombic
- space group = Pbam

=====

Which structure loses on stability? (2) does.

=====

(1)
Na2Tl8Pd3 after structural relaxation. Source: the Alexandria database, functional GGA-PBE.

abc: 4.6435 9.4346 9.4898
angles: 119.89 90.00 90.00
Fractional positions:
1 Na 0.5000 0.2518 0.5041
2 Na 0.5000 0.7482 0.4959
3 Tl 0.0000 0.5979 0.1950
4 Tl 0.0000 0.4021 0.8050
5 Tl 0.0000 0.1144 0.2278
6 Tl 0.0000 0.8856 0.7722
7 Tl 0.5000 0.6360 0.7872
8 Tl 0.5000 0.1503 0.7870
9 Tl 0.5000 0.8497 0.2130
10 Tl 0.5000 0.3640 0.2128
11 Pd 0.5000 0.0000 0.0000
12 Pd 0.0000 0.2341 0.9999
13 Pd 0.0000 0.7659 0.0001

- D(E_F) (states/eV/cell) = 5.24
- volume (Å³/atom) = 27.73
- crystal system = monoclinic
- space group = P2/m

=====

(2)
Na2Tl8Pd3 after structural relaxation. Source: the Alexandria database, functional GGA-PBE.

abc: 6.6444 7.8657 7.8397
angles: 120.11 100.66 90.00
Fractional positions:
1 Na 0.3199 0.2161 0.4322
2 Na 0.6801 0.7839 0.5678
3 Tl 0.9194 0.6065 0.2130
4 Tl 0.0806 0.3935 0.7870
5 Tl 0.8414 0.1563 0.3126
6 Tl 0.1586 0.8437 0.6874
7 Tl 0.6063 0.6013 0.8070
8 Tl 0.6063 0.2057 0.8070
9 Tl 0.3937 0.7943 0.1930
10 Tl 0.3937 0.3987 0.1930
11 Pd 0.5000 0.0000 0.0000
12 Pd 0.0000 0.1800 0.0000
13 Pd 0.0000 0.8200 0.0000

- D(E_F) (states/eV/cell) = 7.40
- volume (Å³/atom) = 26.63
- crystal system = monoclinic
- space group = C2/m

=====

Which structure loses on stability? (2) does.

=====

(1)
Na2Tl3Pd after structural relaxation. Source: the Alexandria database, functional GGA-PBE.

abc: 3.5961 5.5727 9.1439
angles: 107.74 101.34 90.00
Fractional positions:
1 Na 0.7098 0.2098 0.4196
2 Na 0.2902 0.7902 0.5804
3 Tl 0.3751 0.3751 0.7502
4 Tl 0.0000 0.0000 0.0000
5 Tl 0.6249 0.6249 0.2498
6 Pd 0.0000 0.5000 0.0000

- D(E_F) (states/eV/cell) = 3.05
- volume (Å³/atom) = 28.46
- crystal system = orthorhombic
- space group = Immm

=====

(2)
Na2Tl3Pd after structural relaxation. Source: the Alexandria database, functional GGA-PBE.

abc: 4.9991 7.9567 7.9425
angles: 90.00 90.00 71.69
Fractional positions:
1 Na 0.0000 0.0000 0.0000
2 Na 0.0000 0.0000 0.5000
3 Na 0.3354 0.3292 0.5000
4 Na 0.6646 0.6708 0.5000
5 Tl 0.8207 0.3585 0.7927
6 Tl 0.5000 0.0000 0.2296
7 Tl 0.1793 0.6415 0.2073
8 Tl 0.8207 0.3585 0.2073
9 Tl 0.1793 0.6415 0.7927
10 Tl 0.5000 0.0000 0.7704
11 Pd 0.3502 0.2996 0.0000
12 Pd 0.6498 0.7004 0.0000

- D(E_F) (states/eV/cell) = 5.08
- volume (Å³/atom) = 24.99
- crystal system = orthorhombic
- space group = Cmmm

=====

Which structure loses on stability? (1) does.

=====

(1)
NaTlPd3 after structural relaxation. Source: the Alexandria database, functional GGA-PBE.

abc: 5.1303 5.1303 5.1303
angles: 90.00 90.00 90.00
Fractional positions:
1 Na 0.5000 0.5000 0.5000
2 Tl 0.0000 0.0000 0.0000
3 Pd 0.0000 0.5000 0.0000
4 Pd 0.0000 0.0000 0.5000
5 Pd 0.5000 0.0000 0.0000

- D(E_F) (states/eV/cell) = 1.68
- volume (Å³/atom) = 27.01
- crystal system = cubic
- space group = Pm-3m

=====

(2)
NaTlPd3 after structural relaxation. Source: the Alexandria database, functional GGA-PBE.

abc: 6.3411 6.3411 6.3411
angles: 66.70 66.70 66.70
Fractional positions:
1 Na 0.9475 0.9475 0.9475
2 Na 0.4475 0.4475 0.4475
3 Tl 0.7550 0.7550 0.7550
4 Tl 0.2550 0.2550 0.2550
5 Pd 0.0864 0.8795 0.3498
6 Pd 0.3795 0.5864 0.8498
7 Pd 0.5864 0.8498 0.3795
8 Pd 0.8498 0.3795 0.5864
9 Pd 0.3498 0.0864 0.8795
10 Pd 0.8795 0.3498 0.0864

- D(E_F) (states/eV/cell) = 2.03
- volume (Å³/atom) = 20.63
- crystal system = trigonal
- space group = R3c

=====

(3)
NaTlPd3 after structural relaxation. Source: the Alexandria database, functional GGA-PBE.

abc: 5.8028 5.8028 7.4864
angles: 66.87 66.87 59.75
Fractional positions:
1 Na 0.4104 0.4104 0.2691
2 Na 0.5896 0.5896 0.7309
3 Tl 0.8349 0.8349 0.9982
4 Tl 0.1651 0.1651 0.0018
5 Pd 0.8870 0.3907 0.3345
6 Pd 0.1143 0.1143 0.6643
7 Pd 0.3907 0.8870 0.3345
8 Pd 0.6093 0.1130 0.6655
9 Pd 0.1130 0.6093 0.6655
10 Pd 0.8857 0.8857 0.3357

- D(E_F) (states/eV/cell) = 5.12
- volume (Å³/atom) = 19.41
- crystal system = monoclinic
- space group = C2/m

=====

Which structure loses on stability? (1) does.

=====

(1)
Na3Tl2Pd after structural relaxation. Source: the Alexandria database, functional GGA-PBE.

abc: 6.1343 5.8581 9.8133
angles: 107.37 108.21 90.00
Fractional positions:
1 Na 0.5214 0.6892 0.3783
2 Na 0.4786 0.3108 0.6217
3 Na 0.1431 0.8108 0.6217
4 Na 0.8569 0.1892 0.3783
5 Na 0.5000 0.7500 0.0000
6 Na 0.5000 0.2500 0.0000
7 Tl 0.2838 0.1237 0.2474
8 Tl 0.7162 0.8763 0.7526
9 Tl 0.0364 0.3763 0.7526
10 Tl 0.9636 0.6237 0.2474
11 Pd 0.0000 0.2500 0.0000
12 Pd 0.0000 0.7500 0.0000

- D(E_F) (states/eV/cell) = 6.30
- volume (Å³/atom) = 26.50
- crystal system = orthorhombic
- space group = Ibam

=====

(2)
Na3Tl2Pd after structural relaxation. Source: the Alexandria database, functional GGA-PBE.

abc: 5.1661 8.1475 8.6037
angles: 68.58 72.53 71.52
Fractional positions:
1 Na 0.1332 0.8951 0.8385
2 Na 0.8668 0.1049 0.1615
3 Na 0.6834 0.6400 0.9932
4 Na 0.3166 0.3600 0.0068
5 Na 0.8038 0.8329 0.5594
6 Na 0.1962 0.1671 0.4406
7 Tl 0.9328 0.4169 0.7176
8 Tl 0.0672 0.5831 0.2824
9 Tl 0.5632 0.1806 0.6931
10 Tl 0.4368 0.8194 0.3069
11 Pd 0.3849 0.5842 0.6459
12 Pd 0.6151 0.4158 0.3541

- D(E_F) (states/eV/cell) = 3.99
- volume (Å³/atom) = 26.06
- crystal system = monoclinic
- space group = C2/m

=====

Which structure loses on stability? (2) does.

=====

(1)
Na5Tl5Pd2 after structural relaxation. Source: the Alexandria database, functional GGA-PBE.

abc: 5.1357 5.1357 13.3833
angles: 78.94 78.94 60.01
Fractional positions:
1 Na 0.5000 0.5000 0.5000
2 Na 0.3038 0.3038 0.0889
3 Na 0.2257 0.2256 0.3231
4 Na 0.7743 0.7744 0.6769
5 Na 0.6962 0.6962 0.9111
6 Tl 0.8582 0.8582 0.4255
7 Tl 0.4022 0.4022 0.7932
8 Tl 0.5978 0.5978 0.2068
9 Tl 0.1418 0.1418 0.5745
10 Tl 0.0000 0.0000 0.0000
11 Pd 0.0700 0.0700 0.7898
12 Pd 0.9300 0.9300 0.2102

- D(E_F) (states/eV/cell) = 4.64
- volume (Å³/atom) = 24.84
- crystal system = trigonal
- space group = R-3m

=====

(2)
Na5Tl5Pd2 after structural relaxation. Source: the Alexandria database, functional GGA-PBE.

abc: 5.0004 5.9424 13.0782
angles: 88.10 90.00 114.88
Fractional positions:
1 Na 0.5000 0.0000 0.5000
2 Na 0.6609 0.3218 0.1540
3 Na 0.8093 0.6186 0.3983
4 Na 0.1907 0.3814 0.6017
5 Na 0.3391 0.6782 0.8460
6 Tl 0.1163 0.2326 0.3599
7 Tl 0.6420 0.2839 0.7877
8 Tl 0.3580 0.7161 0.2123
9 Tl 0.8837 0.7674 0.6401
10 Tl 0.0000 0.0000 0.0000
11 Pd 0.0402 0.0804 0.7990
12 Pd 0.9598 0.9196 0.2010

- D(E_F) (states/eV/cell) = 5.78
- volume (Å³/atom) = 29.36
- crystal system = monoclinic
- space group = C2/m

=====

Which structure loses on stability? (2) does.